# Li2VO2F PBE with a Hubbard U optimized geometry
# Crystal system   trigonal
# Energy   -6.23 eV/atom
# Fermi-level density of states   0.000 states/eV/atom
data_Li2VO2F
_chemical_formula_sum 'Li4 V2 O4 F2'
_cell_length_a 2.9727
_cell_length_b 2.9727
_cell_length_c 14.4989
_cell_angle_alpha 90.00
_cell_angle_beta 90.00
_cell_angle_gamma 120.00
_symmetry_space_group_name_H-M 'P -3 m 1'
_symmetry_Int_Tables_number 164
_symmetry_space_group_name_Hall '-P 3 2"'
loop_
_atom_site_label
_atom_site_type_symbol
_atom_site_fract_x
_atom_site_fract_y
_atom_site_fract_z
Li1 Li 0.0000 0.0000 0.0000
Li2 Li 0.0000 0.0000 0.5000
Li3 Li 0.3333 0.6667 0.1604
V1 V 0.3333 0.6667 0.6695
O1 O 0.0000 0.0000 0.2522
O2 O 0.3333 0.6667 0.4086
F1 F 0.3333 0.6667 0.9197